Entry a
Entry from Alexandria: a relaxed TbScInRu crystal (PBE).

Magnetic moment ... 0.0 μB per formula unit
V ... 86.39 Å³ per cell
Calculated density ... 8.07 Mg/m³

abc: 3.366 3.366 7.625
angles: 90.00 90.00 90.00
Fractional coordinates of all 4 atoms:
1 Sc 0.500 0.500 0.361
2 Tb 0.500 0.500 0.782
3 In 0.000 0.000 0.094
4 Ru 0.000 0.000 0.548



Entry b
Entry from Alexandria: a relaxed TbScInRu crystal (PBE).

Magnetic moment ... 0.0 μB per formula unit
V ... 85.11 Å³ per cell
Calculated density ... 8.19 Mg/m³

abc: 4.937 4.937 4.937
angles: 60.00 60.00 60.00
Fractional coordinates of all 4 atoms:
1 Sc 0.500 0.500 0.500
2 Tb 0.000 0.000 0.000
3 In 0.750 0.750 0.750
4 Ru 0.250 0.250 0.250



Stability ranking, top and bottom: entry a is the most stable and entry b is the least stable.



Entry a
Entry from Alexandria: a relaxed In3RuSe crystal (PBE).

Magnetic moment ... 2.0 μB per formula unit
V ... 151.01 Å³ per cell
Calculated density ... 5.77 Mg/m³

abc: 5.325 5.325 5.325
angles: 90.00 90.00 90.00
Fractional coordinates of all 5 atoms:
1 Ru 0.500 0.500 0.500
2 In 0.000 0.500 0.000
3 In 0.500 0.000 0.000
4 In 0.000 0.000 0.500
5 Se 0.000 0.000 0.000



Entry b
Entry from Alexandria: a relaxed In3RuSe crystal (PBE).

Magnetic moment ... 0.0 μB per formula unit
V ... 136.17 Å³ per cell
Calculated density ... 6.40 Mg/m³

abc: 5.145 5.145 5.145
angles: 90.00 90.00 90.00
Fractional coordinates of all 5 atoms:
1 In 0.500 0.000 0.000
2 In 0.000 0.000 0.500
3 In 0.000 0.500 0.000
4 Se 0.500 0.500 0.500
5 Ru 0.000 0.000 0.000



Stability ranking, top and bottom: entry b is the most stable and entry a is the least stable.